The following is a PBE-GGA calculation of a geometry-optimized K2Zn3CdSn4 structure, from Alexandria via LeMat-Bulk.

DFT total energy   -24.2 eV per cell
ΔE_f   -1.24 eV/f.u.

a = 4.747 Å, b = 4.747 Å, c = 11.911 Å
α = 90.00°, β = 90.00°, γ = 90.00°
Fractional coordinates of all 10 atoms:
Sn  0.500  0.000  0.638
Sn  0.500  0.500  0.000
Zn  0.500  0.000  0.863
Cd  0.500  0.500  0.500
Zn  0.000  0.500  0.137
K  0.000  0.500  0.749
K  0.500  0.000  0.251
Sn  0.000  0.500  0.362
Sn  0.000  0.000  0.000
Zn  0.000  0.000  0.500

---

The following is a PBE-GGA calculation of a geometry-optimized RbSnN2O structure, from Alexandria via LeMat-Bulk.

DFT total energy   -15.9 eV per cell
E_form (uncorrected)   49.39 kcal/mol of atoms

a = 4.609 Å, b = 4.609 Å, c = 4.781 Å
α = 90.00°, β = 90.00°, γ = 90.00°
Each line ends with the local moment (μB).
Fractional coordinates of all 5 atoms:
O  0.000  0.000  0.500  0.72
N  0.000  0.500  0.000  0.80
N  0.500  0.000  0.000  0.80
Sn  0.500  0.500  0.500  -0.12
Rb  0.000  0.000  0.000  0.04

---

The following is a PBE-GGA calculation of a geometry-optimized Hf6NiAu3 structure, from Alexandria via LeMat-Bulk.

DFT total energy   -154.0 eV per cell
ΔE_f   -1.67 eV/f.u.

a = 5.321 Å, b = 8.443 Å, c = 9.124 Å
α = 90.00°, β = 89.58°, γ = 90.00°
Fractional coordinates of all 20 atoms:
Ni  0.000  0.000  0.000
Au  0.121  0.593  0.244
Hf  0.597  0.173  0.962
Au  0.879  0.407  0.756
Hf  0.585  0.198  0.559
Au  0.500  0.500  0.000
Hf  0.915  0.698  0.941
Hf  0.142  0.111  0.764
Hf  0.903  0.673  0.538
Au  0.379  0.093  0.256
Au  0.621  0.907  0.744
Hf  0.403  0.827  0.038
Au  0.000  0.000  0.500
Hf  0.358  0.611  0.736
Ni  0.500  0.500  0.500
Hf  0.097  0.327  0.462
Hf  0.642  0.389  0.264
Hf  0.415  0.802  0.441
Hf  0.085  0.302  0.059
Hf  0.858  0.889  0.236

---

The following is a PBE-GGA calculation of a geometry-optimized PrMg11Hg structure, from Alexandria via LeMat-Bulk.

DFT total energy   -24.0 eV per cell
ΔE_f   -1.35 eV/f.u.

a = 5.943 Å, b = 7.740 Å, c = 7.795 Å
α = 81.87°, β = 67.59°, γ = 68.22°
Fractional coordinates of all 13 atoms:
Mg  0.500  0.000  0.500
Mg  0.500  0.216  0.789
Mg  0.000  0.000  0.500
Mg  0.649  0.354  0.348
Mg  0.500  0.784  0.211
Mg  0.289  0.216  0.211
Mg  0.711  0.784  0.789
Mg  0.000  0.500  0.000
Mg  0.997  0.354  0.652
Mg  0.003  0.646  0.348
Mg  0.351  0.646  0.652
Hg  0.500  0.500  0.000
Pr  0.000  0.000  0.000

---

The following is a PBE-GGA calculation of a geometry-optimized La3PbN structure, from Alexandria via LeMat-Bulk.

DFT total energy   -26.8 eV per cell
E_form (uncorrected)   0.11 kcal/mol of atoms

a = 4.923 Å, b = 4.923 Å, c = 8.317 Å
α = 90.00°, β = 90.00°, γ = 90.00°
Each line ends with the local moment (μB).
Fractional coordinates of all 5 atoms:
Pb  0.000  0.000  0.358  -0.03
La  0.000  0.500  0.627  0.07
N  0.500  0.500  0.662  -0.02
La  0.000  0.000  0.990  0.23
La  0.500  0.000  0.627  0.06

---

The following is a PBE-GGA calculation of a geometry-optimized Nd2Sm2Tm15 structure, from Alexandria via LeMat-Bulk.

DFT total energy   -80.7 eV per cell
ΔE_f   5.36 eV/f.u.

a = 8.649 Å, b = 8.649 Å, c = 8.649 Å
α = 80.58°, β = 80.58°, γ = 80.58°
Fractional coordinates of all 19 atoms:
Sm  0.335  0.335  0.335
Tm  0.000  0.305  0.695
Tm  0.636  0.636  0.153
Tm  0.695  0.000  0.305
Tm  0.000  0.000  0.500
Tm  0.500  0.000  0.000
Tm  0.364  0.364  0.847
Tm  0.364  0.847  0.364
Tm  0.000  0.500  0.000
Tm  0.153  0.636  0.636
Nd  0.881  0.881  0.881
Sm  0.665  0.665  0.665
Tm  0.305  0.000  0.695
Tm  0.847  0.364  0.364
Nd  0.119  0.119  0.119
Tm  0.695  0.305  0.000
Tm  0.000  0.695  0.305
Tm  0.636  0.153  0.636
Tm  0.305  0.695  0.000

---

The following is a PBE-GGA calculation of a geometry-optimized ScSi2Rh structure, from Alexandria via LeMat-Bulk.

DFT total energy   -52.1 eV per cell
E_form (uncorrected)   -8.83 kcal/mol of atoms

a = 4.120 Å, b = 4.120 Å, c = 8.971 Å
α = 76.72°, β = 76.72°, γ = 90.00°
Fractional coordinates of all 8 atoms:
Rh  0.750  0.250  0.500
Si  0.024  0.625  0.250
Si  0.375  0.274  0.750
Sc  0.250  0.750  0.500
Si  0.875  0.976  0.750
Si  0.726  0.125  0.250
Sc  0.500  0.500  0.000
Rh  0.000  0.000  0.000

---

The following is a PBE-GGA calculation of a geometry-optimized MnCo2Pt structure, from Alexandria via LeMat-Bulk.

DFT total energy   -29.1 eV per cell
ΔE_f   0.31 eV/f.u.

a = 8.302 Å, b = 8.302 Å, c = 8.302 Å
α = 18.58°, β = 18.58°, γ = 18.58°
Each line ends with the local moment (μB).
Fractional coordinates of all 4 atoms:
Co  0.506  0.506  0.506  1.59
Co  0.994  0.994  0.994  1.59
Mn  0.250  0.250  0.250  2.35
Pt  0.750  0.750  0.750  0.17